{
  "formula": "NaV2SiO8",
  "functional": "PBE with a Hubbard U",
  "state": "relaxed",
  "lattice_angstrom": [[-3.2959, 3.2959, 3.0543], [3.2959, -3.2959, 3.0543], [3.2959, 3.2959, -3.0543]],
  "species": ["Na", "V", "V", "Si", "O", "O", "O", "O", "O", "O", "O", "O"],
  "fractional_positions": [[0.0000, 0.0000, 0.0000], [0.5000, 0.5000, 0.0000], [0.7500, 0.2500, 0.5000], [0.2500, 0.7500, 0.5000], [0.3432, 0.1144, 0.7712], [0.3432, 0.5720, 0.2288], [0.3668, 0.0566, 0.3103], [0.4280, 0.6568, 0.7712], [0.7463, 0.0566, 0.6897], [0.8856, 0.6568, 0.2288], [0.9434, 0.2537, 0.3103], [0.9434, 0.6332, 0.6897]],
  "magmom_total_mub_per_fu": 1.04,
  "e_tot_ev_per_cell": -78.70
}